1.
A relaxed Mg2Cr2Ni crystal. Source: the Alexandria database, functional GGA-PBEsol.

Unit cell a=3.103 b=3.103 c=8.164 alpha=100.95 beta=100.95 gamma=90.00
Sites, in units of the cell vectors:
Ni 0.000 0.000 0.000
Mg 0.405 0.405 0.810
Mg 0.595 0.595 0.190
Cr 0.250 0.750 0.500
Cr 0.750 0.250 0.500

Properties
* symmetry: I4/mmm (139)
* energy of formation from the pure elements: 0.50 eV/atom
* E: -5.510 eV/atom

2.
A relaxed Mg3CrO crystal. Source: the Alexandria database, functional GGA-PBEsol.

Unit cell a=4.277 b=4.277 c=4.277 alpha=90.00 beta=90.00 gamma=90.00
Each line ends with the local moment (μB).
Sites, in units of the cell vectors:
Cr 0.500 0.500 0.500  3.66
Mg 0.000 0.500 0.000  -0.01
Mg 0.000 0.000 0.500  -0.01
Mg 0.500 0.000 0.000  -0.01
O 0.000 0.000 0.000  0.03

Properties
* symmetry: Pm-3m (221)
* E: -4.664 eV/atom
* formation energy without anion corrections: -0.54 eV/atom

3.
A relaxed MgCr2O7 crystal. Source: the Alexandria database, functional GGA-PBEsol.

Unit cell a=6.696 b=6.756 c=6.525 alpha=90.00 beta=103.93 gamma=90.00
Sites, in units of the cell vectors:
Mg 0.974 0.110 0.362
Mg 0.026 0.610 0.638
Cr 0.085 0.110 0.850
Cr 0.915 0.610 0.150
Cr 0.561 0.689 0.740
Cr 0.439 0.189 0.260
O 0.438 0.423 0.264
O 0.562 0.923 0.736
O 0.963 0.801 0.308
O 0.037 0.301 0.692
O 0.671 0.102 0.346
O 0.329 0.602 0.654
O 0.956 0.416 0.304
O 0.044 0.916 0.696
O 0.281 0.104 0.395
O 0.719 0.604 0.605
O 0.335 0.111 0.995
O 0.665 0.611 0.005
O 0.944 0.109 0.018
O 0.056 0.609 0.982

Properties
* symmetry: P2_1 (4)
* E: -7.764 eV/atom
* formation energy without anion corrections: -1.87 eV/atom

4.
A relaxed Mg2Cr5P6O24 crystal. Source: the Alexandria database, functional GGA-PBEsol.

Unit cell a=6.285 b=7.861 c=9.236 alpha=105.24 beta=108.57 gamma=101.14
Each line ends with the local moment (μB).
Sites, in units of the cell vectors:
Mg 0.284 0.312 0.789  0.00
Mg 0.716 0.688 0.211  0.00
Cr 0.052 0.216 0.022  2.84
Cr 0.948 0.784 0.978  2.84
Cr 0.616 0.039 0.388  2.96
Cr 0.384 0.961 0.612  2.96
Cr 0.000 0.500 0.500  3.21
P 0.612 0.264 0.133  0.01
P 0.388 0.736 0.867  0.01
P 0.092 0.095 0.334  0.02
P 0.908 0.905 0.666  0.02
P 0.224 0.642 0.267  0.02
P 0.776 0.358 0.733  0.02
O 0.550 0.123 0.209  0.03
O 0.450 0.877 0.791  0.03
O 0.741 0.460 0.271  0.01
O 0.259 0.540 0.729  0.01
O 0.378 0.272 0.010  -0.01
O 0.622 0.728 0.990  -0.01
O 0.223 0.696 0.444  -0.01
O 0.777 0.304 0.556  -0.01
O 0.068 0.050 0.154  -0.01
O 0.932 0.950 0.846  -0.01
O 0.116 0.293 0.422  0.01
O 0.884 0.707 0.578  0.01
O 0.205 0.440 0.205  0.01
O 0.795 0.560 0.795  0.01
O 0.316 0.042 0.419  -0.01
O 0.684 0.958 0.581  -0.01
O 0.122 0.037 0.660  0.00
O 0.878 0.963 0.340  0.00
O 0.456 0.759 0.270  0.00
O 0.544 0.241 0.730  0.00
O 0.009 0.684 0.157  0.01
O 0.991 0.316 0.843  0.01
O 0.757 0.217 0.033  0.02
O 0.243 0.783 0.967  0.02

Properties
* symmetry: P-1 (2)
* E: -8.016 eV/atom
* formation energy without anion corrections: -2.19 eV/atom

5.
A relaxed MgCrP4O12 crystal. Source: the Alexandria database, functional GGA-PBEsol.

Unit cell a=7.405 b=7.405 c=9.588 alpha=97.60 beta=110.27 gamma=112.35
Each line ends with the local moment (μB).
Sites, in units of the cell vectors:
Mg 0.305 0.055 0.250  0.00
Mg 0.695 0.945 0.750  0.00
Cr 0.500 0.500 0.500  3.63
Cr 0.500 0.000 0.000  3.63
P 0.488 0.692 0.191  0.01
P 0.001 0.297 0.309  0.01
P 0.512 0.308 0.809  0.01
P 0.999 0.703 0.691  0.01
P 0.228 0.270 0.974  0.01
P 0.796 0.254 0.526  0.01
P 0.772 0.730 0.026  0.01
P 0.204 0.746 0.474  0.01
O 0.698 0.716 0.166  0.00
O 0.050 0.532 0.334  0.00
O 0.302 0.284 0.834  0.00
O 0.950 0.468 0.666  0.00
O 0.289 0.506 0.045  0.01
O 0.961 0.244 0.455  0.01
O 0.711 0.494 0.955  0.01
O 0.039 0.756 0.545  0.01
O 0.516 0.651 0.342  0.00
O 0.809 0.174 0.158  0.00
O 0.484 0.349 0.658  0.00
O 0.191 0.826 0.842  0.00
O 0.451 0.877 0.171  -0.01
O 0.206 0.280 0.329  -0.01
O 0.549 0.123 0.829  -0.01
O 0.794 0.720 0.671  -0.01
O 0.369 0.209 0.093  0.02
O 0.615 0.275 0.407  0.02
O 0.631 0.791 0.907  0.02
O 0.385 0.725 0.593  0.02
O 0.990 0.152 0.905  0.00
O 0.747 0.085 0.595  0.00
O 0.010 0.848 0.095  0.00
O 0.253 0.915 0.405  0.00

Properties
* symmetry: C2/c (15)
* E: -7.636 eV/atom
* formation energy without anion corrections: -2.19 eV/atom

6.
A relaxed SrMgCrP2O8 crystal. Source: the Alexandria database, functional GGA-PBEsol.

Unit cell a=5.639 b=6.601 c=9.174 alpha=109.47 beta=101.47 gamma=99.14
Each line ends with the local moment (μB).
Sites, in units of the cell vectors:
Sr 0.266 0.797 0.060  0.00
Sr 0.734 0.203 0.940  0.00
Mg 0.007 0.418 0.650  0.00
Mg 0.993 0.582 0.350  0.00
Cr 0.646 0.850 0.545  3.58
Cr 0.354 0.150 0.455  3.58
P 0.383 0.423 0.238  0.01
P 0.617 0.577 0.762  0.01
P 0.836 0.026 0.294  0.01
P 0.164 0.974 0.706  0.01
O 0.846 0.557 0.878  0.00
O 0.633 0.477 0.198  0.01
O 0.661 0.809 0.754  0.00
O 0.956 0.104 0.678  0.00
O 0.367 0.523 0.802  0.01
O 0.050 0.723 0.598  0.03
O 0.950 0.277 0.402  0.03
O 0.257 0.014 0.882  0.00
O 0.339 0.191 0.246  0.00
O 0.743 0.986 0.118  0.00
O 0.154 0.443 0.122  0.00
O 0.373 0.592 0.403  0.00
O 0.627 0.408 0.597  0.00
O 0.617 0.932 0.352  0.02
O 0.044 0.896 0.322  0.00
O 0.383 0.068 0.648  0.02

Properties
* symmetry: P-1 (2)
* E: -7.648 eV/atom
* formation energy without anion corrections: -2.47 eV/atom

7.
A relaxed Mg2CrPtO crystal. Source: the Alexandria database, functional GGA-PBEsol.

Unit cell a=3.952 b=4.141 c=4.141 alpha=90.00 beta=90.00 gamma=90.00
Each line ends with the local moment (μB).
Sites, in units of the cell vectors:
Cr 0.500 0.000 0.000  3.23
Mg 0.000 0.000 0.500  0.00
Mg 0.000 0.500 0.000  0.00
O 0.000 0.000 0.000  0.04
Pt 0.500 0.500 0.500  0.09

Properties
* symmetry: P4/mmm (123)
* E: -6.153 eV/atom
* formation energy without anion corrections: -0.98 eV/atom

8.
A relaxed MgCr7S12O48 crystal. Source: the Alexandria database, functional GGA-PBEsol.

Unit cell a=8.122 b=8.721 c=14.066 alpha=74.40 beta=89.98 gamma=62.25
Each line ends with the local moment (μB).
Sites, in units of the cell vectors:
Mg 0.039 0.924 0.679  0.00
Cr 0.225 0.548 0.075  2.71
Cr 0.532 0.934 0.177  2.73
Cr 0.731 0.543 0.576  2.62
Cr 0.965 0.068 0.324  2.71
Cr 0.271 0.457 0.423  2.59
Cr 0.468 0.068 0.820  2.69
Cr 0.773 0.456 0.924  2.59
S 0.979 0.750 0.231  0.01
S 0.488 0.745 0.730  0.01
S 0.414 0.749 0.374  0.01
S 0.085 0.252 0.127  0.01
S 0.018 0.252 0.479  0.01
S 0.515 0.254 0.979  0.01
S 0.481 0.749 0.019  0.01
S 0.980 0.746 0.519  0.01
S 0.917 0.746 0.878  0.01
S 0.583 0.254 0.624  0.01
S 0.519 0.254 0.267  0.01
S 0.022 0.251 0.769  0.01
O 0.566 0.079 0.055  0.01
O 0.553 0.079 0.255  0.01
O 0.121 0.703 0.163  0.00
O 0.638 0.694 0.665  0.00
O 0.546 0.771 0.307  0.00
O 0.041 0.605 0.328  0.00
O 0.549 0.604 0.830  0.00
O 0.496 0.698 0.479  0.00
O 0.122 0.394 0.146  0.00
O 0.616 0.401 0.642  0.00
O 0.163 0.308 0.488  0.00
O 0.663 0.302 0.992  0.00
O 0.260 0.077 0.150  0.01
O 0.238 0.923 0.353  0.01
O 0.802 0.771 0.187  0.00
O 0.318 0.760 0.686  0.00
O 0.005 0.302 0.022  0.00
O 0.000 0.237 0.377  0.00
O 0.502 0.233 0.879  -0.01
O 0.075 0.080 0.555  0.00
O 0.051 0.081 0.759  0.00
O 0.951 0.232 0.194  -0.01
O 0.829 0.396 0.488  0.00
O 0.327 0.398 0.987  0.01
O 0.669 0.602 0.013  0.00
O 0.170 0.607 0.507  0.00
O 0.055 0.759 0.816  0.00
O 0.946 0.924 0.244  0.01
O 0.925 0.923 0.443  0.01
O 0.493 0.771 0.119  0.00
O 0.992 0.759 0.619  0.00
O 0.986 0.698 0.986  0.01
O 0.695 0.234 0.311  -0.01
O 0.199 0.235 0.811  -0.01
O 0.756 0.084 0.644  0.00
O 0.740 0.921 0.853  0.01
O 0.835 0.694 0.501  0.00
O 0.331 0.703 0.007  0.00
O 0.378 0.607 0.355  0.00
O 0.880 0.603 0.860  0.00
O 0.498 0.308 0.519  0.00
O 0.457 0.398 0.169  0.01
O 0.958 0.396 0.670  0.00
O 0.448 0.237 0.691  -0.01
O 0.376 0.303 0.335  0.00
O 0.881 0.305 0.838  0.00
O 0.454 0.920 0.742  0.01
O 0.432 0.922 0.942  0.01

Properties
* symmetry: P1 (1)
* E: -7.113 eV/atom
* formation energy without anion corrections: -1.55 eV/atom

9.
A relaxed MgCr3S6O24 crystal. Source: the Alexandria database, functional GGA-PBEsol.

Unit cell a=8.130 b=8.130 c=8.745 alpha=62.30 beta=62.30 gamma=60.00
Each line ends with the local moment (μB).
Sites, in units of the cell vectors:
Mg 0.358 0.358 0.925  0.00
Cr 0.152 0.152 0.543  2.55
Cr 0.644 0.644 0.067  2.62
Cr 0.847 0.847 0.458  2.39
S 0.758 0.459 0.746  0.01
S 0.957 0.253 0.252  0.01
S 0.538 0.957 0.252  0.01
S 0.459 0.037 0.746  0.01
S 0.037 0.758 0.746  0.01
S 0.253 0.538 0.252  0.01
O 0.972 0.330 0.694  0.00
O 0.720 0.658 0.604  -0.01
O 0.976 0.288 0.397  0.00
O 0.674 0.974 0.309  0.00
O 0.881 0.714 0.920  0.00
O 0.631 0.372 0.763  0.00
O 0.974 0.043 0.309  0.00
O 0.621 0.755 0.236  -0.01
O 0.518 0.110 0.082  0.00
O 0.290 0.518 0.082  0.00
O 0.755 0.388 0.236  -0.01
O 0.340 0.976 0.397  0.00
O 0.658 0.018 0.604  -0.01
O 0.234 0.631 0.763  0.00
O 0.714 0.485 0.920  0.00
O 0.485 0.881 0.920  0.00
O 0.372 0.234 0.763  0.00
O 0.003 0.972 0.694  0.00
O 0.388 0.621 0.236  -0.01
O 0.110 0.290 0.082  0.00
O 0.330 0.003 0.694  0.00
O 0.018 0.720 0.604  -0.01
O 0.288 0.340 0.397  0.00
O 0.043 0.674 0.309  0.00

Properties
* symmetry: R3 (146)
* E: -7.017 eV/atom
* formation energy without anion corrections: -1.58 eV/atom

10.
A relaxed Mg2CrSbO6 crystal. Source: the Alexandria database, functional GGA-PBEsol.

Unit cell a=5.097 b=5.305 c=7.530 alpha=90.00 beta=90.00 gamma=90.51
Each line ends with the local moment (μB).
Sites, in units of the cell vectors:
Mg 0.480 0.425 0.750  0.00
Mg 0.520 0.575 0.250  0.00
Mg 0.001 0.958 0.750  0.00
Mg 0.999 0.042 0.250  0.00
Cr 0.500 0.000 0.500  2.76
Cr 0.500 0.000 0.000  2.76
Sb 0.000 0.500 0.500  0.03
Sb 0.000 0.500 0.000  0.03
O 0.680 0.315 0.430  0.01
O 0.819 0.812 0.070  0.01
O 0.320 0.685 0.930  0.01
O 0.181 0.188 0.570  0.01
O 0.819 0.812 0.430  0.01
O 0.181 0.188 0.930  0.01
O 0.139 0.430 0.250  0.01
O 0.680 0.315 0.070  0.01
O 0.625 0.066 0.750  0.00
O 0.320 0.685 0.570  0.01
O 0.861 0.570 0.750  0.01
O 0.375 0.934 0.250  0.00

Properties
* symmetry: P2_1/m (11)
* E: -7.028 eV/atom
* formation energy without anion corrections: -2.05 eV/atom

11.
A relaxed Mg3Cr2Si3O12 crystal. Source: the Alexandria database, functional GGA-PBEsol.

Unit cell a=10.048 b=10.048 c=10.048 alpha=109.47 beta=109.47 gamma=109.47
Each line ends with the local moment (μB).
Sites, in units of the cell vectors:
Mg 0.250 0.625 0.375  0.01
Mg 0.750 0.875 0.125  0.01
Mg 0.875 0.250 0.125  0.01
Mg 0.625 0.750 0.375  0.01
Mg 0.250 0.125 0.875  0.01
Mg 0.875 0.625 0.250  0.01
Mg 0.375 0.125 0.250  0.01
Mg 0.750 0.375 0.625  0.01
Mg 0.125 0.375 0.750  0.01
Mg 0.375 0.250 0.625  0.01
Mg 0.125 0.750 0.875  0.01
Mg 0.625 0.875 0.750  0.01
Cr 0.000 0.000 0.000  2.79
Cr 0.500 0.500 0.500  2.79
Cr 0.000 0.000 0.500  2.79
Cr 0.500 0.500 0.000  2.79
Cr 0.000 0.500 0.500  2.79
Cr 0.500 0.000 0.500  2.79
Cr 0.500 0.000 0.000  2.79
Cr 0.000 0.500 0.000  2.79
Si 0.875 0.125 0.750  0.01
Si 0.125 0.875 0.250  0.01
Si 0.750 0.125 0.375  0.01
Si 0.625 0.250 0.875  0.01
Si 0.250 0.375 0.125  0.01
Si 0.875 0.750 0.625  0.01
Si 0.625 0.375 0.250  0.01
Si 0.375 0.750 0.125  0.01
Si 0.125 0.250 0.375  0.01
Si 0.750 0.625 0.875  0.01
Si 0.250 0.875 0.625  0.01
Si 0.375 0.625 0.750  0.01
O 0.521 0.811 0.898  0.00
O 0.689 0.711 0.588  0.00
O 0.398 0.521 0.311  0.00
O 0.412 0.623 0.602  0.00
O 0.877 0.088 0.898  0.00
O 0.811 0.398 0.021  0.00
O 0.811 0.412 0.289  0.00
O 0.789 0.979 0.377  0.00
O 0.623 0.521 0.211  0.00
O 0.088 0.398 0.377  0.00
O 0.711 0.623 0.021  0.00
O 0.789 0.811 0.912  0.00
O 0.521 0.711 0.123  0.00
O 0.102 0.689 0.479  0.00
O 0.979 0.102 0.189  0.00
O 0.398 0.877 0.588  0.00
O 0.412 0.789 0.311  0.00
O 0.979 0.877 0.289  0.00
O 0.088 0.689 0.211  0.00
O 0.377 0.479 0.789  0.00
O 0.877 0.789 0.479  0.00
O 0.711 0.088 0.189  0.00
O 0.102 0.412 0.123  0.00
O 0.689 0.979 0.602  0.00
O 0.479 0.189 0.102  0.00
O 0.311 0.289 0.412  0.00
O 0.602 0.479 0.689  0.00
O 0.588 0.377 0.398  0.00
O 0.123 0.912 0.102  0.00
O 0.189 0.602 0.979  0.00
O 0.189 0.588 0.711  0.00
O 0.211 0.021 0.623  0.00
O 0.311 0.021 0.398  0.00
O 0.898 0.588 0.877  0.00
O 0.289 0.912 0.811  0.00
O 0.377 0.898 0.088  0.00
O 0.123 0.211 0.521  0.00
O 0.912 0.311 0.789  0.00
O 0.021 0.123 0.711  0.00
O 0.588 0.211 0.689  0.00
O 0.602 0.123 0.412  0.00
O 0.021 0.898 0.811  0.00
O 0.898 0.311 0.521  0.00
O 0.479 0.289 0.877  0.00
O 0.211 0.189 0.088  0.00
O 0.289 0.377 0.979  0.00
O 0.912 0.602 0.623  0.00
O 0.623 0.102 0.912  0.00

Properties
* symmetry: Ia-3d (230)
* E: -7.861 eV/atom
* formation energy without anion corrections: -2.57 eV/atom

Which value of E does entry 10 give?
-7.028 eV/atom

Look up the E of the ninth one.
-7.017 eV/atom